No. 1
First-principles (PBE) data for an optimized crystal structure of BaNiTe, as listed in Alexandria via LeMat-Bulk.

a b c (Å): 10.677 7.531 4.041
angles (deg): 90.00 90.00 90.00
Fractional coordinates of all 12 atoms:
Ni 0.445 0.250 0.000
Ni 0.055 0.750 0.500
Ni 0.555 0.750 0.000
Ni 0.945 0.250 0.500
Te 0.000 0.000 0.000
Te 0.500 0.500 0.500
Te 0.500 0.000 0.500
Te 0.000 0.500 0.000
Ba 0.719 0.250 0.000
Ba 0.781 0.750 0.500
Ba 0.281 0.750 0.000
Ba 0.219 0.250 0.500

## Properties
Symmetry = Cmcm, No. 63
V = 27.07 Å³ per atom
Energy relative to the elements, uncorrected = -142.5 kJ/mol of formula units
Size of the total moment = 0.0 μB/f.u.

---

No. 2
First-principles (PBE) data for an optimized crystal structure of Bi2Se3N2, as listed in Alexandria via LeMat-Bulk.

a b c (Å): 4.183 9.426 16.405
angles (deg): 55.59 31.13 48.33
Fractional coordinates of all 7 atoms:
Bi 0.862 0.281 0.915
Bi 0.138 0.719 0.085
Se 0.500 0.000 0.000
Se 0.632 0.460 0.202
Se 0.368 0.540 0.798
N 0.688 0.949 0.454
N 0.312 0.051 0.546

## Properties
Symmetry = P-1, No. 2
V = 35.69 Å³ per atom
Energy relative to the elements, uncorrected = -139.5 kJ/mol of formula units
Size of the total moment = 0.0 μB/f.u.

---

No. 3
First-principles (PBE) data for an optimized crystal structure of In2FeAg, as listed in Alexandria via LeMat-Bulk.

a b c (Å): 5.415 5.415 5.415
angles (deg): 136.19 136.19 63.69
Site moments in Bohr magnetons follow the coordinates.
Fractional coordinates of all 4 atoms:
Ag 0.500 0.500 0.000  -0.05
Fe 0.750 0.250 0.500  2.46
In 0.000 0.000 0.000  -0.07
In 0.250 0.750 0.500  -0.07

## Properties
Symmetry = I-4m2, No. 119
ΔE to the lowest computed polymorph = 75 meV per atom
V = 18.78 Å³ per atom
Size of the total moment = 2.2 μB/f.u.

---

No. 4
First-principles (PBE) data for an optimized crystal structure of LiNd2SmTe5, as listed in Alexandria via LeMat-Bulk.

a b c (Å): 4.434 9.682 13.316
angles (deg): 90.00 90.00 103.24
Fractional coordinates of all 18 atoms:
Li 0.555 0.111 0.964
Li 0.445 0.889 0.464
Nd 0.874 0.749 0.802
Nd 0.106 0.212 0.685
Nd 0.126 0.251 0.302
Nd 0.894 0.788 0.185
Sm 0.801 0.603 0.508
Sm 0.199 0.397 0.008
Te 0.364 0.729 0.998
Te 0.687 0.373 0.842
Te 0.498 0.997 0.782
Te 0.283 0.567 0.670
Te 0.953 0.907 0.573
Te 0.636 0.271 0.498
Te 0.313 0.627 0.342
Te 0.502 0.003 0.282
Te 0.717 0.433 0.170
Te 0.047 0.093 0.073

## Properties
Symmetry = Cmc2_1, No. 36
V = 30.92 Å³ per atom
Energy relative to the elements, uncorrected = -1146.6 kJ/mol of formula units
Size of the total moment = 0.0 μB/f.u.

---

No. 5
First-principles (PBE) data for an optimized crystal structure of NaAcLa, as listed in Alexandria via LeMat-Bulk.

a b c (Å): 5.905 3.788 11.284
angles (deg): 99.65 90.00 90.00
Fractional coordinates of all 6 atoms:
Na 0.846 0.787 0.998
Na 0.348 0.201 0.826
Ac 0.347 0.382 0.185
Ac 0.847 0.609 0.639
La 0.347 0.032 0.486
La 0.847 0.958 0.337

## Properties
Symmetry = C2/m, No. 12
ΔE to the lowest computed polymorph = 0 meV per atom
V = 41.48 Å³ per atom
Size of the total moment = 0.0 μB/f.u.

---

No. 6
First-principles (PBE) data for an optimized crystal structure of KP2W, as listed in Alexandria via LeMat-Bulk.

a b c (Å): 3.129 3.098 8.291
angles (deg): 68.06 90.00 90.00
Fractional coordinates of all 4 atoms:
K 0.500 0.750 0.750
P 0.000 0.928 0.072
P 0.000 0.572 0.428
W 0.500 0.250 0.250

## Properties
Symmetry = Pmmm, No. 47
ΔE to the lowest computed polymorph = 34 meV per atom
V = 18.64 Å³ per atom
Size of the total moment = 0.0 μB/f.u.